{
  "formula": "CsCr3I",
  "functional": "PBE",
  "state": "optimized geometry",
  "energy_ev_per_atom": -4.1875,
  "dos_at_fermi_per_ev_cell": 4.8,
  "cell": [[6.377, 0.000, 0.000], [0.000, 6.377, 0.000], [0.000, 0.000, 6.377]],
  "species": ["I", "Cr", "Cr", "Cr", "Cs"],
  "fractional_positions": [[0.500, 0.500, 0.500], [0.000, 0.500, 0.000], [0.500, 0.000, 0.000], [0.000, 0.000, 0.500], [0.000, 0.000, 0.000]]
}